## Ba2Pt (meta-GGA SCAN)

Data for a PBEsol-optimized structure of Ba2Pt.

a = 4.4977 Å, b = 18.5151 Å, c = 6.3601 Å
α = 90.00°, β = 90.00°, γ = 90.00°
Fractional coordinates of all 12 atoms:
Ba  0.0000  0.0776  0.2500
Ba  0.0000  0.3046  0.2500
Ba  0.0000  0.6954  0.7500
Ba  0.0000  0.9224  0.7500
Ba  0.5000  0.1954  0.7500
Ba  0.5000  0.4224  0.7500
Ba  0.5000  0.5776  0.2500
Ba  0.5000  0.8046  0.2500
Pt  0.0000  0.3140  0.7500
Pt  0.0000  0.6860  0.2500
Pt  0.5000  0.1860  0.2500
Pt  0.5000  0.8140  0.7500

The formation energy comes out at -0.66 eV per atom.


## YCr2Fe (meta-GGA SCAN)

Data for a PBEsol-optimized structure of YCr2Fe.

a = 3.1025 Å, b = 4.1639 Å, c = 4.5827 Å
α = 90.00°, β = 90.00°, γ = 90.00°
Fractional coordinates of all 4 atoms:
Y  0.0000  0.0000  0.0000
Cr  0.0000  0.5000  0.5000
Cr  0.5000  0.0000  0.5000
Fe  0.5000  0.5000  0.0000

The value obtained for the distance to the lowest polymorph of the same formula is 0.000 eV per atom. The formation energy comes out at 0.41 eV per atom.


## K2Hg (meta-GGA SCAN)

Data for a PBEsol-optimized structure of K2Hg.

a = 4.6369 Å, b = 14.7016 Å, c = 7.9224 Å
α = 90.00°, β = 90.00°, γ = 90.00°
Fractional coordinates of all 12 atoms:
K  0.0000  0.0155  0.0000
K  0.0000  0.2894  0.7927
K  0.0000  0.7106  0.2927
K  0.0000  0.9845  0.5000
K  0.5000  0.2106  0.2927
K  0.5000  0.4845  0.5000
K  0.5000  0.5155  0.0000
K  0.5000  0.7894  0.7927
Hg  0.0000  0.3837  0.2241
Hg  0.0000  0.6163  0.7241
Hg  0.5000  0.1163  0.7241
Hg  0.5000  0.8837  0.2241

The value obtained for the distance to the lowest polymorph of the same formula is 0.025 eV per atom. The formation energy comes out at -0.18 eV per atom.


## Tm2S3O12 (meta-GGA SCAN)

Data for a PBEsol-optimized structure of Tm2S3O12.

a = 12.6996 Å, b = 9.1136 Å, c = 9.1988 Å
α = 90.00°, β = 90.00°, γ = 90.00°
Fractional coordinates of all 68 atoms:
Tm  0.1172  0.2498  0.0362
Tm  0.1172  0.7502  0.5362
Tm  0.3828  0.2502  0.5362
Tm  0.3828  0.7498  0.0362
Tm  0.6172  0.2502  0.9638
Tm  0.6172  0.7498  0.4638
Tm  0.8828  0.2498  0.4638
Tm  0.8828  0.7502  0.9638
S  0.0000  0.0333  0.7500
S  0.0000  0.9667  0.2500
S  0.1455  0.3925  0.3886
S  0.1455  0.6075  0.8886
S  0.3545  0.1075  0.8886
S  0.3545  0.8925  0.3886
S  0.5000  0.4667  0.2500
S  0.5000  0.5333  0.7500
S  0.6455  0.1075  0.6114
S  0.6455  0.8925  0.1114
S  0.8545  0.3925  0.1114
S  0.8545  0.6075  0.6114
O  0.0409  0.3337  0.4264
O  0.0409  0.6663  0.9264
O  0.0598  0.1271  0.8508
O  0.0598  0.8729  0.3508
O  0.0748  0.0594  0.1685
O  0.0748  0.9406  0.6685
O  0.1462  0.4468  0.9079
O  0.1462  0.5532  0.4079
O  0.1703  0.3582  0.2356
O  0.1703  0.6418  0.7356
O  0.2250  0.3259  0.4853
O  0.2250  0.6741  0.9853
O  0.2750  0.1741  0.9853
O  0.2750  0.8259  0.4853
O  0.3297  0.1418  0.7356
O  0.3297  0.8582  0.2356
O  0.3538  0.0532  0.4079
O  0.3538  0.9468  0.9079
O  0.4252  0.4406  0.6685
O  0.4252  0.5594  0.1685
O  0.4402  0.3729  0.3508
O  0.4402  0.6271  0.8508
O  0.4591  0.1663  0.9264
O  0.4591  0.8337  0.4264
O  0.5409  0.1663  0.5736
O  0.5409  0.8337  0.0736
O  0.5598  0.3729  0.1492
O  0.5598  0.6271  0.6492
O  0.5748  0.4406  0.8315
O  0.5748  0.5594  0.3315
O  0.6462  0.0532  0.0921
O  0.6462  0.9468  0.5921
O  0.6703  0.1418  0.7644
O  0.6703  0.8582  0.2644
O  0.7250  0.1741  0.5147
O  0.7250  0.8259  0.0147
O  0.7750  0.3259  0.0147
O  0.7750  0.6741  0.5147
O  0.8297  0.3582  0.2644
O  0.8297  0.6418  0.7644
O  0.8538  0.4468  0.5921
O  0.8538  0.5532  0.0921
O  0.9252  0.0594  0.3315
O  0.9252  0.9406  0.8315
O  0.9402  0.1271  0.6492
O  0.9402  0.8729  0.1492
O  0.9591  0.3337  0.0736
O  0.9591  0.6663  0.5736

The uncorrected formation energy comes out at -41.47 eV/f.u.


> Which formula does entry 3 have?

K2Hg


Please write out number 4 again, unchanged.
## Tm2S3O12 (meta-GGA SCAN)

Data for a PBEsol-optimized structure of Tm2S3O12.

a = 12.6996 Å, b = 9.1136 Å, c = 9.1988 Å
α = 90.00°, β = 90.00°, γ = 90.00°
Fractional coordinates of all 68 atoms:
Tm  0.1172  0.2498  0.0362
Tm  0.1172  0.7502  0.5362
Tm  0.3828  0.2502  0.5362
Tm  0.3828  0.7498  0.0362
Tm  0.6172  0.2502  0.9638
Tm  0.6172  0.7498  0.4638
Tm  0.8828  0.2498  0.4638
Tm  0.8828  0.7502  0.9638
S  0.0000  0.0333  0.7500
S  0.0000  0.9667  0.2500
S  0.1455  0.3925  0.3886
S  0.1455  0.6075  0.8886
S  0.3545  0.1075  0.8886
S  0.3545  0.8925  0.3886
S  0.5000  0.4667  0.2500
S  0.5000  0.5333  0.7500
S  0.6455  0.1075  0.6114
S  0.6455  0.8925  0.1114
S  0.8545  0.3925  0.1114
S  0.8545  0.6075  0.6114
O  0.0409  0.3337  0.4264
O  0.0409  0.6663  0.9264
O  0.0598  0.1271  0.8508
O  0.0598  0.8729  0.3508
O  0.0748  0.0594  0.1685
O  0.0748  0.9406  0.6685
O  0.1462  0.4468  0.9079
O  0.1462  0.5532  0.4079
O  0.1703  0.3582  0.2356
O  0.1703  0.6418  0.7356
O  0.2250  0.3259  0.4853
O  0.2250  0.6741  0.9853
O  0.2750  0.1741  0.9853
O  0.2750  0.8259  0.4853
O  0.3297  0.1418  0.7356
O  0.3297  0.8582  0.2356
O  0.3538  0.0532  0.4079
O  0.3538  0.9468  0.9079
O  0.4252  0.4406  0.6685
O  0.4252  0.5594  0.1685
O  0.4402  0.3729  0.3508
O  0.4402  0.6271  0.8508
O  0.4591  0.1663  0.9264
O  0.4591  0.8337  0.4264
O  0.5409  0.1663  0.5736
O  0.5409  0.8337  0.0736
O  0.5598  0.3729  0.1492
O  0.5598  0.6271  0.6492
O  0.5748  0.4406  0.8315
O  0.5748  0.5594  0.3315
O  0.6462  0.0532  0.0921
O  0.6462  0.9468  0.5921
O  0.6703  0.1418  0.7644
O  0.6703  0.8582  0.2644
O  0.7250  0.1741  0.5147
O  0.7250  0.8259  0.0147
O  0.7750  0.3259  0.0147
O  0.7750  0.6741  0.5147
O  0.8297  0.3582  0.2644
O  0.8297  0.6418  0.7644
O  0.8538  0.4468  0.5921
O  0.8538  0.5532  0.0921
O  0.9252  0.0594  0.3315
O  0.9252  0.9406  0.8315
O  0.9402  0.1271  0.6492
O  0.9402  0.8729  0.1492
O  0.9591  0.3337  0.0736
O  0.9591  0.6663  0.5736

The uncorrected formation energy comes out at -41.47 eV/f.u.


> Which formula does entry 2 have?

YCr2Fe